The following is a DFT calculation (GGA+U) of a relaxed structure of LiMnPO4.

Computed properties:
Excess energy over the best structure of this formula in the dataset in eV per atom: 0.066
VASP energy in hartree per atom: -0.2615

```
LiMnPO4
1.0
-1.7851 -1.5236 4.7727
-1.8097 -2.3783 -4.3994
9.8799 -9.0243 0.8144
O P Li Mn
12 3 3 3
direct
0.7746 0.1801 0.2316 O
0.1801 0.7746 0.7684 O
0.2254 0.8199 0.2316 O
0.5945 0.7746 0.5649 O
0.1801 0.4055 0.8983 O
0.2254 0.4055 0.4351 O
0.4055 0.2254 0.5649 O
0.7746 0.5945 0.4351 O
0.4055 0.1801 0.1017 O
0.8199 0.5945 0.8983 O
0.5945 0.8199 0.1017 O
0.8199 0.2254 0.7684 O
0.5000 0.5000 0.5000 P
0.0000 0.5000 0.8333 P
0.5000 0.0000 0.1667 P
0.0000 0.0000 0.1667 Li
0.0000 0.0000 0.5000 Li
0.0000 0.0000 0.8333 Li
0.5000 0.5000 0.0000 Mn
0.0000 0.5000 0.3333 Mn
0.5000 0.0000 0.6667 Mn
```